Record 1
A relaxed Ta2ZnAu crystal, computed with PBE.

Computed properties:
* calculated formation energy: 0.02 eV per atom
* total moment: 0.0 Bohr magnetons per cell

a = 5.7562 Å, b = 8.1829 Å, c = 2.8968 Å
α = 90.00°, β = 90.00°, γ = 90.00°
Closest atoms and distances in Å follow each position.
Space group Cmmm (No. 65)
Inequivalent atoms, fractional coordinates:
Ta1 0.2500 0.2500 0.0000 x4  4 Ta 2.88-2.90, 4 Zn 2.89, 4 Au 2.89
Zn1 0.0000 0.0000 0.5000 x2  2 Au 2.88, 8 Ta 2.89, 2 Zn 2.90
Au1 0.0000 0.5000 0.5000 x2  2 Zn 2.88, 8 Ta 2.89, 2 Au 2.90

=====

Record 2
A relaxed TlW3C crystal, computed with PBE.

Computed properties:
* calculated formation energy: 4.62 eV per atom
* total moment: 0.0 Bohr magnetons per cell
* relative energy among the computed polymorphs: 3976 meV per atom

a = 4.9687 Å, b = 4.9687 Å, c = 4.9687 Å
α = 90.00°, β = 90.00°, γ = 90.00°
Closest atoms and distances in Å follow each position.
Space group Pm-3m (No. 221)
Inequivalent atoms, fractional coordinates:
Tl1 0.0000 0.0000 0.0000 x1  6 W 2.48
W1 0.0000 0.0000 0.5000 x3  2 Tl 2.48
C1 0.5000 0.5000 0.5000 x1  12 W 3.51

=====

Record 3
A relaxed Ce2PrNd crystal, computed with PBE.

Computed properties:
* calculated formation energy: 0.13 eV per atom
* total moment: 1.7 Bohr magnetons per cell
* relative energy among the computed polymorphs: 3 meV per atom

a = 3.5222 Å, b = 3.5222 Å, c = 10.3752 Å
α = 90.00°, β = 90.00°, γ = 90.00°
Closest atoms and distances in Å follow each position.
Space group P4/mmm (No. 123)
Inequivalent atoms, fractional coordinates:
Ce1 0.0000 0.0000 0.2490 x2  4 Ce 3.52, 4 Nd 3.59, 4 Pr 3.60
Pr1 0.5000 0.5000 0.5000 x1  4 Pr 3.52, 8 Ce 3.60
Nd1 0.5000 0.5000 0.0000 x1  4 Nd 3.52, 8 Ce 3.59

=====

Record 4
A relaxed CeDyZn2Ga2 crystal, computed with PBE.

Computed properties:
* calculated formation energy: -0.51 eV per atom
* total moment: 0.9 Bohr magnetons per cell

a = 4.4297 Å, b = 4.4297 Å, c = 7.4084 Å
α = 90.00°, β = 90.00°, γ = 120.00°
Closest atoms and distances in Å follow each position.
Space group P-3m1 (No. 164)
Inequivalent atoms, fractional coordinates:
Ce1 0.0000 0.0000 0.0000 x1  6 Ga 3.18, 6 Zn 3.24
Dy1 0.0000 0.0000 0.5000 x1  6 Zn 3.08, 6 Ga 3.13
Zn1 0.3333 0.6667 0.2679 x2  3 Ga 2.56
Ga1 0.3333 0.6667 0.7443 x2  3 Zn 2.56

=====

Record 5
A relaxed GaBAsSe2 crystal, computed with PBE.

Computed properties:
* ΔE_f (raw): 1.2946 eV per atom
* total moment: 0.0 Bohr magnetons per cell
* relative energy among the computed polymorphs: 726 meV per atom

a = 5.0004 Å, b = 5.0004 Å, c = 4.8554 Å
α = 90.00°, β = 90.00°, γ = 90.00°
Closest atoms and distances in Å follow each position.
Space group P4/mmm (No. 123)
Inequivalent atoms, fractional coordinates:
Ga1 0.0000 0.0000 0.0000 x1  2 As 2.43, 4 Se 2.50
B1 0.5000 0.5000 0.5000 x1  8 Se 3.48, 4 As 3.54
As1 0.0000 0.0000 0.5000 x1  2 Ga 2.43
Se1 0.0000 0.5000 0.0000 x2  2 Ga 2.50

=====

Record 6
A relaxed NiBTeI2 crystal, computed with PBE.

Computed properties:
* ΔE_f (raw): 1.0968 eV per atom
* total moment: 0.0 Bohr magnetons per cell
* relative energy among the computed polymorphs: 0 meV per atom

a = 5.3348 Å, b = 5.3348 Å, c = 4.9658 Å
α = 90.00°, β = 90.00°, γ = 90.00°
Closest atoms and distances in Å follow each position.
Space group P4/mmm (No. 123)
Inequivalent atoms, fractional coordinates:
Ni1 0.0000 0.0000 0.0000 x1  2 Te 2.48, 4 I 2.67
B1 0.5000 0.5000 0.5000 x1  8 I 3.64, 4 Te 3.77
Te1 0.0000 0.0000 0.5000 x1  2 Ni 2.48
I1 0.0000 0.5000 0.0000 x2  2 Ni 2.67

=====

Record 7
A relaxed Ac2GaRh3 crystal, computed with PBE.

Computed properties:
* calculated formation energy: -0.63 eV per atom
* total moment: 0.0 Bohr magnetons per cell
* relative energy among the computed polymorphs: 68 meV per atom

a = 8.4847 Å, b = 8.8228 Å, c = 15.2255 Å
α = 90.00°, β = 90.00°, γ = 90.00°
Closest atoms and distances in Å follow each position.
Space group Fmmm (No. 69)
Inequivalent atoms, fractional coordinates:
Ac1 0.2503 0.0000 0.0000 x8  10 Rh 3.28-3.39, 2 Ga 3.31
Ac2 0.2500 0.2500 0.2500 x8  8 Rh 3.27-3.28, 4 Ga 3.31
Ga1 0.0000 0.0000 0.1670 x8  3 Rh 2.44-2.46
Rh1 0.0000 0.0000 0.3283 x8  1 Ga 2.46, 2 Rh 2.64
Rh2 0.0000 0.2396 0.0868 x16  1 Ga 2.44, 2 Rh 2.64

=====

Record 8
A relaxed Hg2IN crystal, computed with PBE.

Computed properties:
* ΔE_f (raw): 0.3620 eV per atom
* total moment: 0.0 Bohr magnetons per cell
* relative energy among the computed polymorphs: 0 meV per atom

a = 6.8324 Å, b = 6.8324 Å, c = 9.7383 Å
α = 90.00°, β = 90.00°, γ = 90.00°
Closest atoms and distances in Å follow each position.
Space group I-42d (No. 122)
Inequivalent atoms, fractional coordinates:
Hg1 0.0010 0.2500 0.1250 x8  2 N 2.10
I1 0.0000 0.0000 0.5000 x4  12 Hg 4.00-4.03, 4 I 4.19, 4 N 4.19
N1 0.0000 0.0000 0.0000 x4  4 Hg 2.10

=====

Record 9
A relaxed Sm4ZrTe5 crystal, computed with PBE.

Computed properties:
* ΔE_f (raw): -1.2024 eV per atom
* total moment: 0.0 Bohr magnetons per cell

a = 4.3839 Å, b = 4.3839 Å, c = 53.7648 Å
α = 90.00°, β = 90.00°, γ = 120.00°
Closest atoms and distances in Å follow each position.
Space group R-3m (No. 166, hexagonal axes)
Inequivalent atoms, fractional coordinates:
Sm1 0.0000 0.0000 0.1038 x6  6 Te 3.11-3.14
Sm2 0.0000 0.0000 0.2991 x6  6 Te 3.13-3.15
Zr1 0.0000 0.0000 0.5000 x3  6 Te 2.98
Te1 0.0000 0.0000 0.0000 x3  6 Sm 3.13
Te2 0.0000 0.0000 0.1958 x6  3 Zr 2.98, 3 Sm 3.11
Te3 0.0000 0.0000 0.4024 x6  6 Sm 3.14-3.15

=====

Record 10
A relaxed ScTc2Os crystal, computed with PBE.

Computed properties:
* calculated formation energy: 0.07 eV per atom
* total moment: 0.0 Bohr magnetons per cell
* relative energy among the computed polymorphs: 131 meV per atom

a = 2.7854 Å, b = 2.7854 Å, c = 8.2488 Å
α = 90.00°, β = 90.00°, γ = 90.00°
Closest atoms and distances in Å follow each position.
Space group P4/mmm (No. 123)
Inequivalent atoms, fractional coordinates:
Sc1 0.0000 0.0000 0.0000 x1  4 Sc 2.79, 8 Tc 3.01
Tc1 0.5000 0.5000 0.2756 x2  4 Os 2.70, 4 Tc 2.79, 4 Sc 3.01
Os1 0.0000 0.0000 0.5000 x1  8 Tc 2.70, 4 Os 2.79

=====

Record 11
A relaxed HfNiHg crystal, computed with PBE.

Computed properties:
* calculated formation energy: -0.11 eV per atom
* total moment: 0.0 Bohr magnetons per cell
* relative energy among the computed polymorphs: 223 meV per atom

a = 3.3575 Å, b = 3.5879 Å, c = 9.1975 Å
α = 90.00°, β = 100.29°, γ = 90.00°
Closest atoms and distances in Å follow each position.
Space group Pm (No. 6)
Inequivalent atoms, fractional coordinates:
Hf1 0.0000 0.0000 0.0000 x1  4 Ni 2.61
Hf2 0.2494 0.5000 0.4909 x1  4 Ni 2.77, 5 Hg 2.80-2.97
Ni1 0.5476 0.5000 0.0981 x1  3 Hg 2.60-2.70, 4 Hf 2.61
Ni2 0.8181 0.0000 0.6317 x1  4 Hf 2.77, 5 Hg 2.89-2.95
Hg1 0.4018 0.5000 0.8001 x1  5 Ni 2.70-2.89, 1 Hf 2.80
Hg2 0.6593 0.0000 0.3059 x1  2 Ni 2.60

=====

Record 12
A relaxed TbNd2DyTe6 crystal, computed with PBE.

Computed properties:
* ΔE_f (raw): -1.3731 eV per atom
* total moment: 0.0 Bohr magnetons per cell

a = 7.8462 Å, b = 7.8462 Å, c = 21.2734 Å
α = 90.00°, β = 90.00°, γ = 120.00°
Closest atoms and distances in Å follow each position.
Space group R3 (No. 146, hexagonal axes)
Inequivalent atoms, fractional coordinates:
Tb1 0.0000 0.0000 0.0000 x3  6 Te 3.08-3.12
Nd1 0.0000 0.0000 0.3097 x3  6 Te 3.16-3.21
Nd2 0.0000 0.0000 0.8102 x3  6 Te 3.16-3.21
Dy1 0.0000 0.0000 0.4996 x3  6 Te 3.07-3.10
Te1 0.0317 0.3479 0.5752 x9  1 Dy 3.07, 1 Tb 3.12, 2 Nd 3.16-3.21
Te2 0.0318 0.6819 0.0753 x9  1 Tb 3.08, 1 Dy 3.10, 2 Nd 3.16-3.21